Density functional theory data (GGA-PBE) for a relaxed structure of CsAlTl2.

Computed properties:
**ΔE to the lowest computed polymorph**: 0.20 eV per formula unit
**Formation enthalpy at 0 K**: 0.3 eV/f.u.
**Spin magnetization**: 0.00 μB per formula unit
**Electronic total energy**: -2.260 eV/atom
**Density of states at the Fermi level**: 1.88 states/eV/f.u.
**Mass density**: 7158 kg/m³

Unit cell a=3.8062 b=3.8062 c=9.1058 alpha=90.00 beta=90.00 gamma=90.00
Closest atoms and distances in Å follow each position.
Atoms (fractional coordinates):
Tl 0.0000 0.0000 0.8184  4 Al 3.16, 1 Tl 3.31
Tl 0.0000 0.0000 0.1816  4 Al 3.16, 1 Tl 3.31
Al 0.5000 0.5000 0.0000  8 Tl 3.16
Cs 0.5000 0.5000 0.5000  4 Cs 3.81, 8 Tl 3.96

***

Density functional theory data (GGA-PBE) for a relaxed structure of Tb3HfTe6.

Computed properties:
**Energy relative to the elements, uncorrected**: -1.128 eV/atom
**Spin magnetization**: 0.54 μB per formula unit
**Electronic total energy**: -5.397 eV/atom
**Density of states at the Fermi level**: 5.78 states/eV/f.u.
**Mass density**: 6776 kg/m³

Unit cell a=8.8640 b=8.8640 c=8.8640 alpha=89.76 beta=89.76 gamma=89.76
Closest atoms and distances in Å follow each position.
Atoms (fractional coordinates):
Te 0.5440 0.4234 0.1871  1 Hf 2.88, 3 Tb 3.04-3.21
Te 0.9215 0.1004 0.3038  1 Hf 2.92, 3 Tb 3.09-3.13
Te 0.8129 0.4560 0.5766  1 Hf 2.88, 3 Tb 3.04-3.21
Te 0.4234 0.1871 0.5440  1 Hf 2.88, 3 Tb 3.04-3.21
Te 0.1004 0.3038 0.9215  1 Hf 2.92, 3 Tb 3.09-3.13
Te 0.4560 0.5766 0.8129  1 Hf 2.88, 3 Tb 3.04-3.21
Te 0.3038 0.9215 0.1004  1 Hf 2.92, 3 Tb 3.09-3.13
Te 0.0785 0.8996 0.6962  1 Hf 2.92, 3 Tb 3.09-3.13
Te 0.1871 0.5440 0.4234  1 Hf 2.88, 3 Tb 3.04-3.21
Te 0.5766 0.8129 0.4560  1 Hf 2.88, 3 Tb 3.04-3.21
Te 0.6962 0.0785 0.8996  1 Hf 2.92, 3 Tb 3.09-3.13
Te 0.8996 0.6962 0.0785  1 Hf 2.92, 3 Tb 3.09-3.13
Hf 0.5000 0.5000 0.5000  6 Te 2.88
Hf 0.0000 0.0000 0.0000  6 Te 2.92
Tb 0.7663 0.4204 0.9148  6 Te 3.04-3.21
Tb 0.9148 0.7663 0.4204  6 Te 3.04-3.21
Tb 0.2337 0.5796 0.0852  6 Te 3.04-3.21
Tb 0.4204 0.9148 0.7663  6 Te 3.04-3.21
Tb 0.0852 0.2337 0.5796  6 Te 3.04-3.21
Tb 0.5796 0.0852 0.2337  6 Te 3.04-3.21

***

Density functional theory data (GGA-PBE) for a relaxed structure of Tb3Dy4Tm2.

Computed properties:
**ΔE to the lowest computed polymorph**: 0.75 eV per formula unit
**Formation enthalpy at 0 K**: 0.9 eV/f.u.
**Spin magnetization**: 0.00 μB per formula unit
**Electronic total energy**: -4.481 eV/atom
**Density of states at the Fermi level**: 13.19 states/eV/f.u.
**Mass density**: 8696 kg/m³

Unit cell a=6.0607 b=11.1639 c=11.1639 alpha=61.84 beta=62.26 gamma=62.26
Closest atoms and distances in Å follow each position.
Atoms (fractional coordinates):
Tb 0.2500 0.5970 0.4030  4 Tm 3.33-3.45, 4 Dy 3.45
Tb 0.7500 0.4030 0.5970  4 Tm 3.33-3.45, 4 Dy 3.45
Tb 0.2567 0.9295 0.7357  6 Dy 3.36-3.49, 2 Tm 3.46-3.48, 2 Tb 3.76
Tb 0.7567 0.7357 0.9295  6 Dy 3.36-3.49, 2 Tm 3.46-3.48, 2 Tb 3.76
Tb 0.2433 0.2643 0.0705  6 Dy 3.36-3.49, 2 Tm 3.46-3.48, 2 Tb 3.76
Tb 0.7433 0.0705 0.2643  6 Dy 3.36-3.49, 2 Tm 3.46-3.48, 2 Tb 3.76
Tm 0.9211 0.5204 0.2408  4 Dy 3.27-3.55, 4 Tb 3.33-3.48
Tm 0.4211 0.2408 0.5204  4 Dy 3.27-3.55, 4 Tb 3.33-3.48
Tm 0.5789 0.7592 0.4796  4 Dy 3.27-3.55, 4 Tb 3.33-3.48
Tm 0.0789 0.4796 0.7592  4 Dy 3.27-3.55, 4 Tb 3.33-3.48
Dy 0.0771 0.1466 0.4300  1 Dy 3.27, 3 Tm 3.36-3.55, 4 Tb 3.37-3.45
Dy 0.4208 0.9055 0.1871  1 Tm 3.27, 4 Tb 3.36-3.49, 3 Dy 3.38-3.56
Dy 0.9229 0.8534 0.5700  1 Dy 3.27, 3 Tm 3.36-3.55, 4 Tb 3.37-3.45
Dy 0.5771 0.4300 0.1466  1 Dy 3.27, 3 Tm 3.36-3.55, 4 Tb 3.37-3.45
Dy 0.9208 0.1871 0.9055  1 Tm 3.27, 4 Tb 3.36-3.49, 3 Dy 3.38-3.56
Dy 0.4229 0.5700 0.8534  1 Dy 3.27, 3 Tm 3.36-3.55, 4 Tb 3.37-3.45
Dy 0.5792 0.0945 0.8129  1 Tm 3.27, 4 Tb 3.36-3.49, 3 Dy 3.38-3.56
Dy 0.0792 0.8129 0.0945  1 Tm 3.27, 4 Tb 3.36-3.49, 3 Dy 3.38-3.56

***

Density functional theory data (GGA-PBE) for a relaxed structure of Ta2SiIr.

Computed properties:
**Energy relative to the elements, uncorrected**: -0.455 eV/atom
**Spin magnetization**: 0.00 μB per formula unit
**Electronic total energy**: -9.952 eV/atom
**Density of states at the Fermi level**: 2.25 states/eV/f.u.
**Mass density**: 15348 kg/m³

Unit cell a=2.8543 b=4.0564 c=5.4403 alpha=90.00 beta=90.00 gamma=90.00
Closest atoms and distances in Å follow each position.
Atoms (fractional coordinates):
Ir 0.5000 0.5000 0.2500  2 Si 2.72, 8 Ta 2.84, 2 Ir 2.85
Si 0.5000 0.5000 0.7500  2 Ir 2.72, 8 Ta 2.82, 2 Si 2.85
Ta 0.0000 0.0000 0.9970  4 Ta 2.69-2.85, 4 Si 2.82, 4 Ir 2.84
Ta 0.0000 0.0000 0.5030  4 Ta 2.69-2.85, 4 Si 2.82, 4 Ir 2.84

***

Density functional theory data (GGA-PBE) for a relaxed structure of Li2MgTiC.

Computed properties:
**Formation enthalpy at 0 K**: 0.8 eV/f.u.
**Spin magnetization**: 0.00 μB per formula unit
**Electronic total energy**: -4.351 eV/atom
**Density of states at the Fermi level**: 2.65 states/eV/f.u.
**Mass density**: 2178 kg/m³

Unit cell a=4.2348 b=4.1688 c=4.2348 alpha=90.00 beta=90.00 gamma=90.00
Closest atoms and distances in Å follow each position.
Atoms (fractional coordinates):
C 0.0000 0.0000 0.0000  2 Ti 2.08, 4 Li 2.12
Ti 0.0000 0.5000 0.0000  2 C 2.08
Li 0.0000 0.0000 0.5000  2 C 2.12
Li 0.5000 0.0000 0.0000  2 C 2.12
Mg 0.5000 0.5000 0.5000  8 Li 2.97, 4 Ti 2.99

***

Density functional theory data (GGA-PBE) for a relaxed structure of Te2PS.

Computed properties:
**ΔE to the lowest computed polymorph**: 0.04 eV per formula unit
**Energy relative to the elements, uncorrected**: 0.384 eV/atom
**Spin magnetization**: 0.00 μB per formula unit
**Electronic total energy**: -3.571 eV/atom
**Density of states at the Fermi level**: 2.78 states/eV/f.u.
**Mass density**: 4935 kg/m³

Unit cell a=7.2373 b=7.2373 c=6.5502 alpha=56.46 beta=56.46 gamma=90.00
Closest atoms and distances in Å follow each position.
Atoms (fractional coordinates):
Te 0.8750 0.8606 0.7500  2 P 2.69, 2 S 2.82
Te 0.3750 0.3894 0.7500  2 P 2.69, 2 S 2.82
Te 0.1394 0.6250 0.2500  2 P 2.69, 2 S 2.82
Te 0.6106 0.1250 0.2500  2 P 2.69, 2 S 2.82
P 0.2500 0.7500 0.5000  4 Te 2.69
P 0.5000 0.5000 0.0000  4 Te 2.69
S 0.7500 0.2500 0.5000  4 Te 2.82
S 0.0000 0.0000 0.0000  4 Te 2.82

***

Density functional theory data (GGA-PBE) for a relaxed structure of CuSnPtAu.

Computed properties:
**Formation enthalpy at 0 K**: -0.5 eV/f.u.
**Spin magnetization**: 0.00 μB per formula unit
**Electronic total energy**: -4.477 eV/atom
**Density of states at the Fermi level**: 2.60 states/eV/f.u.
**Mass density**: 14035 kg/m³

Unit cell a=4.5803 b=4.5803 c=4.5803 alpha=60.00 beta=60.00 gamma=60.00
Closest atoms and distances in Å follow each position.
Atoms (fractional coordinates):
Au 0.2500 0.2500 0.2500  4 Cu 2.80, 4 Sn 2.80
Cu 0.5000 0.5000 0.5000  4 Pt 2.80, 4 Au 2.80
Pt 0.7500 0.7500 0.7500  4 Sn 2.80, 4 Cu 2.80
Sn 0.0000 0.0000 0.0000  4 Au 2.80, 4 Pt 2.80

***

Density functional theory data (GGA-PBE) for a relaxed structure of NaLi2Ga2Sn2.

Computed properties:
**Formation enthalpy at 0 K**: -1.8 eV/f.u.
**Spin magnetization**: 0.00 μB per formula unit
**Electronic total energy**: -3.008 eV/atom
**Density of states at the Fermi level**: 1.86 states/eV/f.u.
**Mass density**: 4375 kg/m³

Unit cell a=4.4599 b=4.4599 c=9.4724 alpha=76.38 beta=76.38 gamma=60.00
Closest atoms and distances in Å follow each position.
Atoms (fractional coordinates):
Sn 0.2554 0.2554 0.2339  3 Ga 2.80, 1 Li 3.00
Sn 0.7446 0.7446 0.7661  3 Ga 2.80, 1 Li 3.00
Ga 0.5485 0.5485 0.3546  1 Ga 2.65, 3 Li 2.68, 3 Sn 2.80
Ga 0.4515 0.4515 0.6454  1 Ga 2.65, 3 Li 2.68, 3 Sn 2.80
Na 0.0000 0.0000 0.0000  6 Sn 3.34
Li 0.8544 0.8544 0.4368  3 Ga 2.68, 3 Li 2.82, 1 Sn 3.00
Li 0.1456 0.1456 0.5632  3 Ga 2.68, 3 Li 2.82, 1 Sn 3.00

***

Density functional theory data (GGA-PBE) for a relaxed structure of Tb4Hg5Ge2.

Computed properties:
**Formation enthalpy at 0 K**: -5.4 eV/f.u.
**Spin magnetization**: 0.00 μB per formula unit
**Electronic total energy**: -3.151 eV/atom
**Density of states at the Fermi level**: 6.47 states/eV/f.u.
**Mass density**: 10841 kg/m³

Unit cell a=3.8543 b=7.7385 c=9.2036 alpha=95.50 beta=90.00 gamma=90.00
Closest atoms and distances in Å follow each position.
Atoms (fractional coordinates):
Ge 0.0000 0.0713 0.6272  1 Ge 2.49
Ge 0.0000 0.9287 0.3728  1 Ge 2.49
Hg 0.0000 0.5000 0.0000  4 Hg 3.01-3.05, 4 Tb 3.25
Hg 0.0000 0.8467 0.8675  1 Ge 2.94, 2 Hg 3.05-3.24, 2 Tb 3.22
Hg 0.0000 0.4605 0.6714  1 Ge 3.00, 3 Hg 3.01-3.34, 4 Tb 3.22-3.33
Hg 0.0000 0.1533 0.1325  1 Ge 2.94, 2 Hg 3.05-3.24, 2 Tb 3.22
Hg 0.0000 0.5395 0.3286  1 Ge 3.00, 3 Hg 3.01-3.34, 4 Tb 3.22-3.33
Tb 0.5000 0.7626 0.5747  4 Ge 3.05-3.07, 6 Hg 3.22-3.33
Tb 0.5000 0.1909 0.8569  2 Ge 2.94, 6 Hg 3.22-3.30
Tb 0.5000 0.8091 0.1431  2 Ge 2.94, 6 Hg 3.22-3.30
Tb 0.5000 0.2374 0.4253  4 Ge 3.05-3.07, 6 Hg 3.22-3.33

***

Density functional theory data (GGA-PBE) for a relaxed structure of La6Cu2I3Br.

Computed properties:
**Energy relative to the elements, uncorrected**: -0.787 eV/atom
**Spin magnetization**: 0.00 μB per formula unit
**Electronic total energy**: -4.461 eV/atom
**Density of states at the Fermi level**: 11.05 states/eV/f.u.
**Mass density**: 6109 kg/m³

Unit cell a=7.5150 b=7.5150 c=8.2926 alpha=98.70 beta=98.70 gamma=120.07
Closest atoms and distances in Å follow each position.
Atoms (fractional coordinates):
La 0.2837 0.2837 0.8001  2 Cu 2.93, 1 Br 3.07
La 0.9310 0.5819 0.7937  2 Cu 2.93-2.94, 1 Br 3.09
La 0.7163 0.7163 0.1999  2 Cu 2.93, 1 Br 3.07
La 0.0690 0.4181 0.2063  2 Cu 2.93-2.94, 1 Br 3.09
La 0.5819 0.9310 0.7937  2 Cu 2.93-2.94, 1 Br 3.09
La 0.4181 0.0690 0.2063  2 Cu 2.93-2.94, 1 Br 3.09
Br 0.0000 0.0000 0.0000  6 La 3.07-3.09
I 0.1605 0.8395 0.5000  6 La 3.38-3.47
I 0.5000 0.5000 0.5000  6 La 3.36-3.46
I 0.8395 0.1605 0.5000  6 La 3.38-3.47
Cu 0.6683 0.3317 0.0000  6 La 2.93-2.94
Cu 0.3317 0.6683 0.0000  6 La 2.93-2.94

***

Density functional theory data (GGA-PBE) for a relaxed structure of Zr3Ga3Ir.

Computed properties:
**Formation enthalpy at 0 K**: -4.6 eV/f.u.
**Spin magnetization**: 0.00 μB per formula unit
**Electronic total energy**: -6.885 eV/atom
**Density of states at the Fermi level**: 4.11 states/eV/f.u.
**Mass density**: 8686 kg/m³

Unit cell a=3.7255 b=5.4715 c=13.4659 alpha=90.00 beta=90.00 gamma=109.90
Closest atoms and distances in Å follow each position.
Atoms (fractional coordinates):
Ga 0.9083 0.8165 0.6041  1 Ga 2.49, 2 Ir 2.52
Ga 0.0917 0.1835 0.3959  1 Ga 2.49, 2 Ir 2.52
Ga 0.7592 0.5185 0.7500  2 Ga 2.49, 1 Zr 2.73
Ga 0.0917 0.1835 0.1041  1 Ga 2.49, 2 Ir 2.52
Ga 0.9083 0.8165 0.8959  1 Ga 2.49, 2 Ir 2.52
Ga 0.2408 0.4815 0.2500  2 Ga 2.49, 1 Zr 2.73
Zr 0.4940 0.9881 0.7500  7 Ga 2.73-3.05
Zr 0.1898 0.3795 0.9050  6 Ga 2.86-2.92, 2 Ir 2.99
Zr 0.8102 0.6205 0.0950  6 Ga 2.86-2.92, 2 Ir 2.99
Zr 0.8102 0.6205 0.4050  6 Ga 2.86-2.92, 2 Ir 2.99
Zr 0.1898 0.3795 0.5950  6 Ga 2.86-2.92, 2 Ir 2.99
Zr 0.5060 0.0119 0.2500  7 Ga 2.73-3.05
Ir 0.5000 0.0000 0.5000  4 Ga 2.52
Ir 0.5000 0.0000 0.0000  4 Ga 2.52

***

Density functional theory data (GGA-PBE) for a relaxed structure of Li2CaH2.

Computed properties:
**ΔE to the lowest computed polymorph**: 0.60 eV per formula unit
**Spin magnetization**: 0.00 μB per formula unit
**Electronic total energy**: -2.581 eV/atom
**Density of states at the Fermi level**: 0.81 states/eV/f.u.
**Mass density**: 1102 kg/m³

Unit cell a=6.3217 b=6.3217 c=4.2214 alpha=90.00 beta=90.00 gamma=90.00
Closest atoms and distances in Å follow each position.
Atoms (fractional coordinates):
Li 0.3373 0.8373 0.5000  2 H 2.11
Li 0.6627 0.1627 0.5000  2 H 2.11
Li 0.1627 0.3373 0.5000  2 H 2.11
Li 0.8373 0.6627 0.5000  2 H 2.11
H 0.1718 0.3282 0.0000  2 Li 2.11, 2 Ca 2.34
H 0.6718 0.1718 0.0000  2 Li 2.11, 2 Ca 2.34
H 0.3282 0.8282 0.0000  2 Li 2.11, 2 Ca 2.34
H 0.8282 0.6718 0.0000  2 Li 2.11, 2 Ca 2.34
Ca 0.0000 0.0000 0.0000  4 H 2.34
Ca 0.5000 0.5000 0.0000  4 H 2.34